1.
Compound: Tm5Cu2Bi
Source: OQMD
Functional: PBE
Structure: optimized geometry

abc: 7.8385 7.8385 12.8376
angles: 90.00 90.00 90.00
Space group I4/mcm (No. 140)
Inequivalent atoms, fractional coordinates:
Tm 0.0000 0.0000 0.0000 x4
Tm 0.1529 0.3471 0.1391 x16
Cu 0.1331 0.3669 0.5000 x8
Bi 0.0000 0.0000 0.2500 x4

Results
total energy: -36.7 eV per formula unit

2.
Compound: Cu2BiW
Source: OQMD
Functional: PBE
Structure: optimized geometry

abc: 6.4780 6.4780 6.4780
angles: 90.00 90.00 90.00
Space group F-43m (No. 216)
Inequivalent atoms, fractional coordinates:
Cu 0.0000 0.0000 0.0000 x4
Cu 0.2500 0.2500 0.2500 x4
Bi 0.0000 0.0000 0.5000 x4
W 0.2500 0.2500 0.7500 x4

Results
total energy: -20.9 eV per formula unit

3.
Compound: CuBiW2
Source: OQMD
Functional: PBE
Structure: optimized geometry

abc: 6.5477 6.5477 6.5477
angles: 90.00 90.00 90.00
Space group F-43m (No. 216)
Inequivalent atoms, fractional coordinates:
Cu 0.0000 0.0000 0.0000 x4
Bi 0.2500 0.2500 0.2500 x4
W 0.0000 0.0000 0.5000 x4
W 0.2500 0.2500 0.7500 x4

Results
total energy: -30.0 eV per formula unit

Look up the total energy of the third one. -30.0 eV per formula unit